DFT (PBE) results for a relaxed structure of Li3Zn4Ga2.

a b c (Å): 7.6182 13.2075 5.6378
angles (deg): 90.00 90.00 90.00
With the nearest neighbours (Å) after each atom.
Space group Cccm (No. 66)
Inequivalent atoms, fractional coordinates:
Li1 0.0000 0.0000 0.2500 (multiplicity 4)  2 Li 2.82, 4 Ga 2.89, 8 Zn 2.91-2.92
Li2 0.0000 0.3332 0.2500 (multiplicity 8)  2 Li 2.82, 8 Zn 2.89-2.92, 4 Ga 2.91-2.92
Zn1 0.1658 0.4989 0.0000 (multiplicity 8)  4 Zn 2.52-2.82, 1 Ga 2.55
Zn2 0.1694 0.1670 0.0000 (multiplicity 8)  2 Zn 2.51-2.52, 1 Ga 2.54
Ga1 0.1645 0.1654 0.5000 (multiplicity 8)  4 Zn 2.54-2.82, 1 Ga 2.59

---

DFT (PBE) results for a relaxed structure of Li5ZnGa6.

a b c (Å): 3.9445 7.3931 7.4187
angles (deg): 66.88 74.96 74.88
With the nearest neighbours (Å) after each atom.
Space group P-1 (No. 2)
Inequivalent atoms, fractional coordinates:
Li1 0.0000 0.0000 0.0000 (multiplicity 1)  4 Li 2.75-2.77, 8 Ga 2.80-2.83
Li2 0.3359 0.1649 0.1645 (multiplicity 2)  4 Li 2.75-2.84, 8 Ga 2.80-2.87
Li3 0.3367 0.6630 0.6632 (multiplicity 2)  2 Zn 2.74-2.76, 8 Ga 2.80-2.86, 2 Li 2.81-2.84
Zn1 0.0000 0.5000 0.5000 (multiplicity 1)  4 Li 2.74-2.76, 8 Ga 2.84-2.85
Ga1 0.1657 0.0800 0.5864 (multiplicity 2)  4 Ga 2.76-2.79, 7 Li 2.82-2.87, 1 Zn 2.84
Ga2 0.1666 0.5862 0.0810 (multiplicity 2)  4 Ga 2.77-2.79, 7 Li 2.80-2.85, 1 Zn 2.85
Ga3 0.4986 0.2492 0.7513 (multiplicity 2)  4 Ga 2.77-2.79, 6 Li 2.80-2.83, 2 Zn 2.84-2.85

---

| no. | electronic total energy (eV/atom) | energy of formation (eV/atom) |
| --- | --- | --- |
| 1 | -2.09 | -0.21 |
| 2 | -2.67 | -0.25 |